No. 1
Density functional theory data (GGA-PBE) for Mn2Fe3Si after structural relaxation.

Cell lengths 6.2576, 6.2581, 8.4549 Å; angles 63.41, 153.23, 113.48 degrees
Last column: nearest neighbours and their distance in Å.
Element x y z (fractional)
Fe: 0.6602 0.1705 0.9965  4 Fe 2.29-2.45, 1 Si 2.38, 1 Mn 2.56
Fe: 0.3398 0.8295 0.0035  4 Fe 2.29-2.45, 1 Si 2.38, 1 Mn 2.56
Fe: 0.3260 0.3363 0.4965  4 Fe 2.29-2.45, 1 Si 2.38, 1 Mn 2.56
Fe: 0.6740 0.6637 0.5035  4 Fe 2.29-2.45, 1 Si 2.38, 1 Mn 2.56
Fe: 0.8250 0.0750 0.7500  1 Si 2.25, 4 Fe 2.26-2.45
Fe: 0.1750 0.9250 0.2500  1 Si 2.25, 4 Fe 2.26-2.45
Si: 0.1533 0.4034 0.7500  3 Fe 2.25-2.38, 2 Si 2.41
Si: 0.8467 0.5966 0.2500  3 Fe 2.25-2.38, 2 Si 2.41
Mn: 0.2392 0.3744 0.1218  2 Mn 2.35-2.48, 7 Fe 2.53-2.60, 2 Si 2.60
Mn: 0.7608 0.6256 0.8782  2 Mn 2.35-2.48, 7 Fe 2.53-2.60, 2 Si 2.60
Mn: 0.2475 0.8826 0.6218  2 Mn 2.35-2.48, 7 Fe 2.53-2.60, 2 Si 2.60
Mn: 0.7525 0.1174 0.3782  2 Mn 2.35-2.48, 7 Fe 2.53-2.60, 2 Si 2.60

ρ: 7.607 g/cm³
Symmetry: Imma (74)
Formation energy without anion corrections: 0.0 eV/f.u.
Size of the total moment: 1.427 μB/cell
Total DFT energy (no corrections): -49.10 eV/f.u.

---

No. 2
Density functional theory data (GGA-PBE) for MnFe3Si8 after structural relaxation.

Cell lengths 2.7131, 2.7131, 20.5578 Å; angles 90.00, 90.00, 90.00 degrees
Last column: nearest neighbours and their distance in Å.
Element x y z (fractional)
Fe: 0.0000 0.0000 0.7493  8 Si 2.37-2.38
Fe: 0.0000 0.0000 0.2507  8 Si 2.37-2.38
Fe: 0.0000 0.0000 0.5000  8 Si 2.37
Si: 0.5000 0.5000 0.1820  1 Si 2.35, 4 Fe 2.38
Si: 0.5000 0.5000 0.3183  1 Si 2.34, 4 Fe 2.37
Si: 0.5000 0.5000 0.0678  1 Si 2.35, 4 Mn 2.37
Si: 0.5000 0.5000 0.6817  1 Si 2.34, 4 Fe 2.37
Si: 0.5000 0.5000 0.8180  1 Si 2.35, 4 Fe 2.38
Si: 0.5000 0.5000 0.9322  1 Si 2.35, 4 Mn 2.37
Si: 0.5000 0.5000 0.4320  1 Si 2.34, 4 Fe 2.37
Si: 0.5000 0.5000 0.5680  1 Si 2.34, 4 Fe 2.37
Mn: 0.0000 0.0000 0.0000  8 Si 2.37

ρ: 4.907 g/cm³
Symmetry: P4/mmm (123)
Formation energy without anion corrections: -4.4 eV/f.u.
Size of the total moment: 0.379 μB/cell
Total DFT energy (no corrections): -82.33 eV/f.u.

---

No. 3
Density functional theory data (GGA-PBE) for MnFeSi4 after structural relaxation.

Cell lengths 2.7294, 2.7294, 10.2661 Å; angles 90.00, 90.00, 90.00 degrees
Last column: nearest neighbours and their distance in Å.
Element x y z (fractional)
Si: 0.5000 0.5000 0.6349  1 Si 2.35, 4 Mn 2.38
Si: 0.5000 0.5000 0.3651  1 Si 2.35, 4 Mn 2.38
Si: 0.5000 0.5000 0.1362  1 Si 2.35, 4 Fe 2.38
Si: 0.5000 0.5000 0.8638  1 Si 2.35, 4 Fe 2.38
Fe: 0.0000 0.0000 0.0000  8 Si 2.38
Mn: 0.0000 0.0000 0.5000  8 Si 2.38

Distance to the lowest polymorph of the same formula: 0.0 kJ per mole of atoms
ρ: 4.845 g/cm³
Symmetry: P4/mmm (123)
Formation energy without anion corrections: -2.1 eV/f.u.
Size of the total moment: 0.419 μB/cell
Total DFT energy (no corrections): -41.42 eV/f.u.

---

No. 4
Density functional theory data (GGA-PBE) for SmMnFeSi2 after structural relaxation.

Cell lengths 3.9320, 3.9320, 5.8278 Å; angles 109.72, 109.72, 90.00 degrees
Last column: nearest neighbours and their distance in Å.
Element x y z (fractional)
Mn: 0.2500 0.7500 0.5000  4 Si 2.35
Sm: 0.0000 0.0000 0.0000  8 Si 3.06, 4 Mn 3.23, 4 Fe 3.23
Si: 0.3750 0.3750 0.7499  2 Mn 2.35, 2 Fe 2.35, 1 Si 2.56
Si: 0.6250 0.6250 0.2501  2 Mn 2.35, 2 Fe 2.35, 1 Si 2.56
Fe: 0.7500 0.2500 0.5000  4 Si 2.35

ρ: 6.654 g/cm³
Symmetry: I-4m2 (119)
Formation energy without anion corrections: -3.1 eV/f.u.
Size of the total moment: 2.783 μB/cell
Total DFT energy (no corrections): -36.31 eV/f.u.

---

No. 5
Density functional theory data (GGA-PBE) for TaMnFeSi after structural relaxation.

Cell lengths 4.1291, 4.1291, 4.1291 Å; angles 60.00, 60.00, 60.00 degrees
Last column: nearest neighbours and their distance in Å.
Element x y z (fractional)
Mn: 0.0000 0.0000 0.0000  4 Ta 2.53, 4 Si 2.53
Fe: 0.5000 0.5000 0.5000  4 Si 2.53, 4 Ta 2.53
Ta: 0.7500 0.7500 0.7500  4 Mn 2.53, 4 Fe 2.53
Si: 0.2500 0.2500 0.2500  4 Mn 2.53, 4 Fe 2.53

ρ: 10.669 g/cm³
Symmetry: F-43m (216)
Formation energy without anion corrections: -1.8 eV/f.u.
Size of the total moment: 0.000 μB/cell
Total DFT energy (no corrections): -36.69 eV/f.u.

---

No. 6
Density functional theory data (GGA-PBE) for TbMnFeSi2 after structural relaxation.

Cell lengths 3.8947, 3.8947, 5.7806 Å; angles 109.69, 109.69, 90.00 degrees
Last column: nearest neighbours and their distance in Å.
Element x y z (fractional)
Fe: 0.2500 0.7500 0.5000  4 Si 2.34
Si: 0.3771 0.3771 0.7543  2 Mn 2.34, 2 Fe 2.34, 1 Si 2.50
Si: 0.6229 0.6229 0.2457  2 Fe 2.34, 2 Mn 2.34, 1 Si 2.50
Tb: 0.0000 0.0000 0.0000  8 Si 3.02, 4 Fe 3.20, 4 Mn 3.20
Mn: 0.7500 0.2500 0.5000  4 Si 2.34

ρ: 7.019 g/cm³
Symmetry: I-4m2 (119)
Formation energy without anion corrections: -3.3 eV/f.u.
Size of the total moment: 2.818 μB/cell
Total DFT energy (no corrections): -36.36 eV/f.u.